No. 1
VASP calculation (PBE-GGA) on crystalline CoIrSe2 at its relaxed geometry.

Cell lengths 2.8963, 2.8963, 9.9522 Å; angles 90.00, 90.00, 120.76 degrees
Element x y z (fractional)
Co1 0.0000 0.0000 0.5123
Ir1 0.5000 0.5000 0.7259
Se1 0.0000 0.0000 0.9399
Se2 0.5000 0.5000 0.3219

Summary:
Formation energy from raw total energies   0.408 eV per atom
Density   9.5 Mg/m³
Space group   No. 35
Spin magnetization   0.454 μB per atom
V   17.9 Å³ per atom
Polymorph energy (0 for the lowest one)   2.01 eV/f.u.
Raw total energy   -5.326 eV per atom

---

No. 2
VASP calculation (PBE-GGA) on crystalline Li2SiRu at its relaxed geometry.

Cell lengths 6.8196, 6.8196, 5.3652 Å; angles 50.54, 50.54, 90.00 degrees
Element x y z (fractional)
Ru1 0.0000 0.0000 0.0000
Ru2 0.7500 0.2500 0.5000
Si1 0.5000 0.5000 0.0000
Si2 0.2500 0.7500 0.5000
Li1 0.6193 0.1250 0.2500
Li2 0.1307 0.6250 0.2500
Li3 0.3750 0.3807 0.7500
Li4 0.8750 0.8693 0.7500

Summary:
Formation energy from raw total energies   0.113 eV per atom
Density   4.3 Mg/m³
Space group   No. 122
Spin magnetization   0.000 μB per atom
V   13.7 Å³ per atom
Raw total energy   -4.518 eV per atom